(1)
Entry from Alexandria: a relaxed structure of Sm7DyTm3 (PBE).

abc: 10.1487 10.1511 12.4442
angles: 65.78 114.23 138.74
Element x y z (fractional)
Sm1 0.1658 0.8443 0.2746
Sm2 0.1551 0.8339 0.7746
Sm3 0.0831 0.4194 0.4705
Sm4 0.0845 0.4203 0.9716
Sm5 0.5807 0.9171 0.9705
Sm6 0.5800 0.9156 0.4718
Sm7 0.2731 0.2732 0.7500
Sm8 0.7269 0.7268 0.2500
Sm9 0.4193 0.0829 0.0295
Sm10 0.4200 0.0844 0.5282
Sm11 0.9155 0.5797 0.0284
Sm12 0.9169 0.5806 0.5295
Sm13 0.8449 0.1661 0.2254
Sm14 0.8342 0.1557 0.7254
Dy1 0.5000 0.5000 0.0000
Dy2 0.5000 0.5000 0.5000
Tm1 0.3286 0.6677 0.7244
Tm2 0.0000 0.0000 0.0000
Tm3 0.0000 0.0000 0.5000
Tm4 0.3328 0.6718 0.2245
Tm5 0.6672 0.3282 0.7755
Tm6 0.6714 0.3323 0.2756

Computed properties:
- Energy: -4.46 eV per atom
- Energy relative to the lowest polymorph listed for this composition: 0.000 eV per formula unit
- Size of the total moment: 0.000 μB per formula unit
- Calculated density: 7.53 Mg/m³
- Calculated formation energy: 0.18 eV/atom
- Space-group type: C2/c



(2)
Entry from Alexandria: a relaxed structure of Sm4Dy4Tm3 (PBE).

abc: 3.5157 5.6210 18.0176
angles: 81.03 84.39 90.00
Element x y z (fractional)
Sm1 0.5902 0.0904 0.8199
Sm2 0.2679 0.2675 0.4648
Sm3 0.7322 0.7325 0.5351
Sm4 0.4098 0.9097 0.1800
Dy1 0.5459 0.5459 0.9089
Dy2 0.4541 0.4541 0.0912
Dy3 0.3196 0.8201 0.3596
Dy4 0.6804 0.1799 0.6403
Tm1 0.1361 0.6358 0.7287
Tm2 0.8639 0.3642 0.2713
Tm3 0.0000 0.0000 0.0000

Computed properties:
- Energy: -4.55 eV per atom
- Energy relative to the lowest polymorph listed for this composition: 0.000 eV per formula unit
- Size of the total moment: 0.000 μB per formula unit
- Calculated density: 8.34 Mg/m³
- Calculated formation energy: 0.06 eV/atom
- Space-group type: P-1



(3)
Entry from Alexandria: a relaxed structure of Sm2Dy8Tm (PBE).

abc: 6.6454 10.1459 10.1459
angles: 38.22 59.56 59.56
Element x y z (fractional)
Sm1 0.5987 0.8017 0.8017
Sm2 0.4013 0.1983 0.1983
Dy1 0.2280 0.3500 0.8251
Dy2 0.7720 0.1749 0.6500
Dy3 0.1799 0.7563 0.7563
Dy4 0.8201 0.2437 0.2437
Dy5 0.2280 0.8251 0.3500
Dy6 0.7720 0.6500 0.1749
Dy7 0.7297 0.5887 0.5887
Dy8 0.2703 0.4113 0.4113
Tm1 0.0000 0.0000 0.0000

Computed properties:
- Energy: -4.45 eV per atom
- Energy relative to the lowest polymorph listed for this composition: 1.604 eV per formula unit
- Size of the total moment: 0.000 μB per formula unit
- Calculated density: 8.22 Mg/m³
- Calculated formation energy: 0.16 eV/atom
- Space-group type: C2/m



(4)
Entry from Alexandria: a relaxed structure of Sm15Dy2Tm2 (PBE).

abc: 8.8242 8.8242 8.8242
angles: 78.73 78.73 78.73
Element x y z (fractional)
Sm1 0.0000 0.0000 0.5000
Sm2 0.5000 0.0000 0.0000
Sm3 0.0000 0.5000 0.0000
Sm4 0.2957 0.7043 0.0000
Sm5 0.0000 0.2957 0.7043
Sm6 0.7043 0.0000 0.2957
Sm7 0.0000 0.7043 0.2957
Sm8 0.2957 0.0000 0.7043
Sm9 0.7043 0.2957 0.0000
Sm10 0.6222 0.6222 0.1536
Sm11 0.1536 0.6222 0.6222
Sm12 0.6222 0.1536 0.6222
Sm13 0.3778 0.3778 0.8464
Sm14 0.8464 0.3778 0.3778
Sm15 0.3778 0.8464 0.3778
Dy1 0.3154 0.3154 0.3154
Dy2 0.6846 0.6846 0.6846
Tm1 0.0934 0.0934 0.0934
Tm2 0.9066 0.9066 0.9066

Computed properties:
- Energy: -4.41 eV per atom
- Size of the total moment: 0.000 μB per formula unit
- Calculated density: 7.43 Mg/m³
- Calculated formation energy: 0.27 eV/atom
- Space-group type: R-3m



(5)
Entry from Alexandria: a relaxed structure of SmDy3Tm7 (PBE).

abc: 8.5272 6.9713 6.9713
angles: 120.00 90.00 90.00
Element x y z (fractional)
Sm1 0.4475 0.3333 0.6667
Dy1 0.7844 0.5004 0.4996
Dy2 0.7844 0.5004 0.0008
Dy3 0.7844 0.9992 0.4996
Tm1 0.1183 0.1675 0.8325
Tm2 0.1183 0.1675 0.3351
Tm3 0.1190 0.6667 0.3333
Tm4 0.4468 0.8322 0.1678
Tm5 0.4468 0.3355 0.1678
Tm6 0.4468 0.8322 0.6645
Tm7 0.1183 0.6649 0.8325

Computed properties:
- Energy: -4.33 eV per atom
- Energy relative to the lowest polymorph listed for this composition: 0.405 eV per formula unit
- Size of the total moment: 0.000 μB per formula unit
- Calculated density: 8.42 Mg/m³
- Calculated formation energy: 0.20 eV/atom
- Space-group type: P3m1



(6)
Entry from Alexandria: a relaxed structure of Sm2Dy4Tm (PBE).

abc: 6.0958 6.5879 11.5309
angles: 90.00 103.94 90.00
Element x y z (fractional)
Sm1 0.6030 0.7500 0.9938
Sm2 0.3970 0.2500 0.0062
Sm3 0.2876 0.2500 0.4260
Sm4 0.7124 0.7500 0.5740
Dy1 0.6505 0.5070 0.2878
Dy2 0.0265 0.7500 0.8578
Dy3 0.9735 0.2500 0.1422
Dy4 0.6505 0.9930 0.2878
Dy5 0.8501 0.2500 0.5547
Dy6 0.3495 0.0070 0.7122
Dy7 0.3495 0.4930 0.7122
Dy8 0.1499 0.7500 0.4453
Tm1 0.1471 0.7500 0.1593
Tm2 0.8529 0.2500 0.8407

Computed properties:
- Energy: -4.48 eV per atom
- Energy relative to the lowest polymorph listed for this composition: 0.183 eV per formula unit
- Size of the total moment: 0.000 μB per formula unit
- Calculated density: 8.27 Mg/m³
- Calculated formation energy: 0.14 eV/atom
- Space-group type: P2_1/m



(7)
Entry from Alexandria: a relaxed structure of SmDy6Tm3 (PBE).

abc: 6.1592 10.9021 10.9021
angles: 119.75 90.00 90.00
Element x y z (fractional)
Sm1 0.1512 0.2063 0.7937
Sm2 0.6512 0.7937 0.2063
Dy1 0.0328 0.7101 0.6193
Dy2 0.5328 0.6193 0.7101
Dy3 0.3621 0.5389 0.9584
Dy4 0.8621 0.9584 0.5389
Dy5 0.4142 0.9532 0.0468
Dy6 0.6444 0.2836 0.7164
Dy7 0.1444 0.7164 0.2836
Dy8 0.9142 0.0468 0.9532
Dy9 0.3621 0.0416 0.4611
Dy10 0.8621 0.4611 0.0416
Dy11 0.0328 0.3807 0.2899
Dy12 0.5328 0.2899 0.3807
Tm1 0.4558 0.9367 0.7187
Tm2 0.9558 0.7187 0.9367
Tm3 0.0742 0.3892 0.6108
Tm4 0.5742 0.6108 0.3892
Tm5 0.9558 0.0633 0.2813
Tm6 0.4558 0.2813 0.0633

Computed properties:
- Energy: -4.42 eV per atom
- Energy relative to the lowest polymorph listed for this composition: 0.250 eV per formula unit
- Size of the total moment: 0.000 μB per formula unit
- Calculated density: 8.53 Mg/m³
- Calculated formation energy: 0.15 eV/atom
- Space-group type: Cmc2_1



(8)
Entry from Alexandria: a relaxed structure of Sm12DyTm6 (PBE).

abc: 8.5780 8.5780 8.5780
angles: 88.78 88.78 88.78
Element x y z (fractional)
Sm1 0.7800 0.5381 0.4333
Sm2 0.4333 0.7800 0.5381
Sm3 0.5381 0.4333 0.7800
Sm4 0.2200 0.4619 0.5667
Sm5 0.5667 0.2200 0.4619
Sm6 0.4619 0.5667 0.2200
Sm7 0.0158 0.1966 0.3620
Sm8 0.8034 0.6380 0.9842
Sm9 0.6380 0.9842 0.8034
Sm10 0.9842 0.8034 0.6380
Sm11 0.1966 0.3620 0.0158
Sm12 0.3620 0.0158 0.1966
Dy1 0.0000 0.0000 0.0000
Tm1 0.7414 0.9013 0.2994
Tm2 0.7006 0.2586 0.0987
Tm3 0.0987 0.7006 0.2586
Tm4 0.2586 0.0987 0.7006
Tm5 0.2994 0.7414 0.9013
Tm6 0.9013 0.2994 0.7414

Computed properties:
- Energy: -4.49 eV per atom
- Energy relative to the lowest polymorph listed for this composition: 0.000 eV per formula unit
- Size of the total moment: 0.000 μB per formula unit
- Calculated density: 7.85 Mg/m³
- Calculated formation energy: 0.14 eV/atom
- Space-group type: R-3



(9)
Entry from Alexandria: a relaxed structure of Sm5Dy4Tm3 (PBE).

abc: 5.8739 8.6254 9.6164
angles: 106.21 72.22 70.09
Element x y z (fractional)
Sm1 0.6264 0.9495 0.7976
Sm2 0.5000 0.5000 0.5000
Sm3 0.2111 0.4629 0.1149
Sm4 0.7889 0.5371 0.8851
Sm5 0.3736 0.0505 0.2024
Dy1 0.8584 0.2221 0.0612
Dy2 0.1624 0.0536 0.6217
Dy3 0.8376 0.9464 0.3783
Dy4 0.1416 0.7779 0.9388
Tm1 0.5198 0.6890 0.2714
Tm2 0.0000 0.5000 0.5000
Tm3 0.4802 0.3110 0.7286

Computed properties:
- Energy: -4.39 eV per atom
- Size of the total moment: 0.003 μB per formula unit
- Calculated density: 8.04 Mg/m³
- Calculated formation energy: 0.23 eV/atom
- Space-group type: C2/m



(10)
Entry from Alexandria: a relaxed structure of Sm5DyTm (PBE).

abc: 6.1851 8.0258 7.7695
angles: 121.10 113.46 90.00
Element x y z (fractional)
Sm1 0.1890 0.2531 0.5062
Sm2 0.1676 0.5000 0.0000
Sm3 0.6828 0.7469 0.4938
Sm4 0.4330 0.1785 0.0000
Sm5 0.4330 0.8215 0.0000
Dy1 0.9312 0.0000 0.0000
Tm1 0.6940 0.5000 0.0000

Computed properties:
- Energy: -3.76 eV per atom
- Energy relative to the lowest polymorph listed for this composition: 4.964 eV per formula unit
- Size of the total moment: 0.000 μB per formula unit
- Calculated density: 6.15 Mg/m³
- Calculated formation energy: 0.90 eV/atom
- Space-group type: Imm2



(11)
Entry from Alexandria: a relaxed structure of Sm4DyTm6 (PBE).

abc: 9.6326 9.6326 9.6326
angles: 57.79 140.04 140.04
Element x y z (fractional)
Sm1 0.0000 0.6364 0.0139
Sm2 0.3775 0.3636 0.3636
Sm3 0.0000 0.0139 0.6364
Sm4 0.6225 0.9861 0.9861
Dy1 0.0000 0.0000 0.0000
Tm1 0.0000 0.8046 0.4477
Tm2 0.0000 0.4477 0.8046
Tm3 0.3570 0.5523 0.5523
Tm4 0.5000 0.5000 0.0000
Tm5 0.6430 0.1954 0.1954
Tm6 0.5000 0.0000 0.5000

Computed properties:
- Energy: -4.27 eV per atom
- Energy relative to the lowest polymorph listed for this composition: 0.000 eV per formula unit
- Size of the total moment: 0.000 μB per formula unit
- Calculated density: 8.08 Mg/m³
- Calculated formation energy: 0.30 eV/atom
- Space-group type: I-42m



(12)
Entry from Alexandria: a relaxed structure of Sm2Dy5Tm4 (PBE).

abc: 3.4738 8.9523 12.5224
angles: 110.94 97.97 90.00
Element x y z (fractional)
Sm1 0.2680 0.2680 0.5360
Sm2 0.7320 0.7320 0.4640
Dy1 0.8578 0.0545 0.7156
Dy2 0.8578 0.6611 0.7156
Dy3 0.1422 0.3389 0.2844
Dy4 0.1422 0.9455 0.2844
Dy5 0.5000 0.0000 0.0000
Tm1 0.0000 0.3128 0.0000
Tm2 0.5968 0.5968 0.1935
Tm3 0.0000 0.6872 0.0000
Tm4 0.4032 0.4032 0.8065

Computed properties:
- Energy: -4.37 eV per atom
- Energy relative to the lowest polymorph listed for this composition: 0.583 eV per formula unit
- Size of the total moment: 0.001 μB per formula unit
- Calculated density: 8.26 Mg/m³
- Calculated formation energy: 0.20 eV/atom
- Space-group type: Immm



(13)
Entry from Alexandria: a relaxed structure of SmDy3Tm6 (PBE).

abc: 9.7237 9.7237 6.8113
angles: 44.46 44.46 60.00
Element x y z (fractional)
Sm1 0.8948 0.8948 0.3155
Dy1 0.3931 0.3931 0.8208
Dy2 0.6370 0.6370 0.0891
Dy3 0.1398 0.1398 0.5806
Tm1 0.9097 0.5700 0.2828
Tm2 0.2376 0.9097 0.2828
Tm3 0.5700 0.2376 0.2828
Tm4 0.0721 0.4101 0.7819
Tm5 0.7359 0.0721 0.7819
Tm6 0.4101 0.7359 0.7819

Computed properties:
- Energy: -4.24 eV per atom
- Energy relative to the lowest polymorph listed for this composition: 1.504 eV per formula unit
- Size of the total moment: 0.000 μB per formula unit
- Calculated density: 8.68 Mg/m³
- Calculated formation energy: 0.30 eV/atom
- Space-group type: R3



(14)
Entry from Alexandria: a relaxed structure of Sm3Dy2Tm8 (PBE).

abc: 5.5568 7.6243 10.7088
angles: 110.85 90.03 90.00
Element x y z (fractional)
Sm1 0.5000 0.0000 0.0000
Sm2 0.0000 0.2905 0.0000
Sm3 0.0000 0.7095 0.0000
Dy1 0.4992 0.2408 0.4817
Dy2 0.5008 0.7592 0.5183
Tm1 0.0007 0.6695 0.3390
Tm2 0.9993 0.3305 0.6610
Tm3 0.9998 0.1339 0.2679
Tm4 0.0002 0.8661 0.7321
Tm5 0.4997 0.6002 0.7807
Tm6 0.4997 0.1805 0.7807
Tm7 0.5003 0.8195 0.2193
Tm8 0.5003 0.3998 0.2193

Computed properties:
- Energy: -4.29 eV per atom
- Size of the total moment: 0.000 μB per formula unit
- Calculated density: 8.33 Mg/m³
- Calculated formation energy: 0.26 eV/atom
- Space-group type: C2/m



(15)
Entry from Alexandria: a relaxed structure of Sm12Dy2Tm5 (PBE).

abc: 9.9191 9.4513 11.3441
angles: 52.91 90.00 121.65
Element x y z (fractional)
Sm1 0.0964 0.1928 0.1073
Sm2 0.0572 0.6033 0.7967
Sm3 0.5462 0.6033 0.7967
Sm4 0.1522 0.7959 0.4012
Sm5 0.6437 0.7959 0.4012
Sm6 0.3946 0.7891 0.9157
Sm7 0.6054 0.2109 0.0843
Sm8 0.8478 0.2041 0.5988
Sm9 0.3563 0.2041 0.5988
Sm10 0.9428 0.3967 0.2033
Sm11 0.4538 0.3967 0.2033
Sm12 0.9036 0.8072 0.8927
Dy1 0.7501 0.0000 0.0000
Dy2 0.2499 0.0000 0.0000
Tm1 0.1897 0.3795 0.7043
Tm2 0.2956 0.5913 0.3023
Tm3 0.0000 0.0000 0.5000
Tm4 0.7044 0.4087 0.6977
Tm5 0.8103 0.6205 0.2957

Computed properties:
- Energy: -4.54 eV per atom
- Energy relative to the lowest polymorph listed for this composition: 0.000 eV per formula unit
- Size of the total moment: 0.000 μB per formula unit
- Calculated density: 7.73 Mg/m³
- Calculated formation energy: 0.10 eV/atom
- Space-group type: C2/m



(16)
Entry from Alexandria: a relaxed structure of Sm4Dy2Tm (PBE).

abc: 6.1949 6.6046 11.5444
angles: 90.00 104.54 90.00
Element x y z (fractional)
Sm1 0.6499 0.5098 0.2855
Sm2 0.0415 0.7500 0.8652
Sm3 0.9585 0.2500 0.1348
Sm4 0.6499 0.9902 0.2855
Sm5 0.8497 0.2500 0.5500
Sm6 0.3501 0.0098 0.7145
Sm7 0.3501 0.4902 0.7145
Sm8 0.1503 0.7500 0.4500
Dy1 0.6093 0.7500 0.9939
Dy2 0.3907 0.2500 0.0061
Dy3 0.2878 0.2500 0.4220
Dy4 0.7122 0.7500 0.5780
Tm1 0.1502 0.7500 0.1639
Tm2 0.8498 0.2500 0.8361

Computed properties:
- Energy: -4.52 eV per atom
- Energy relative to the lowest polymorph listed for this composition: 0.526 eV per formula unit
- Size of the total moment: 0.000 μB per formula unit
- Calculated density: 7.96 Mg/m³
- Calculated formation energy: 0.13 eV/atom
- Space-group type: P2_1/m



(17)
Entry from Alexandria: a relaxed structure of Sm5Dy8Tm (PBE).

abc: 8.4586 8.4431 8.4586
angles: 110.82 106.98 110.72
Element x y z (fractional)
Sm1 0.0309 0.3218 0.1348
Sm2 0.8657 0.8967 0.1881
Sm3 0.8130 0.6782 0.7091
Sm4 0.4999 0.0000 0.4999
Sm5 0.2914 0.1033 0.9690
Dy1 0.1649 0.7358 0.0756
Dy2 0.9240 0.0903 0.6613
Dy3 0.7324 0.2548 0.3366
Dy4 0.6632 0.3960 0.9184
Dy5 0.5224 0.6040 0.2672
Dy6 0.5710 0.9097 0.8337
Dy7 0.3398 0.2642 0.4291
Dy8 0.0818 0.7452 0.4776
Tm1 0.2497 0.5000 0.7497

Computed properties:
- Energy: -4.39 eV per atom
- Size of the total moment: 0.000 μB per formula unit
- Calculated density: 7.95 Mg/m³
- Calculated formation energy: 0.25 eV/atom
- Space-group type: C2



(18)
Entry from Alexandria: a relaxed structure of Sm5DyTm4 (PBE).

abc: 6.3012 7.8630 7.8630
angles: 80.76 66.38 66.38
Element x y z (fractional)
Sm1 0.8055 0.3800 0.9126
Sm2 0.1855 0.9126 0.6200
Sm3 0.7182 0.0874 0.3800
Sm4 0.0981 0.6200 0.0874
Sm5 0.6813 0.0000 0.0000
Dy1 0.2231 0.0000 0.0000
Tm1 0.4015 0.3947 0.7016
Tm2 0.7962 0.7016 0.6053
Tm3 0.1031 0.2984 0.3947
Tm4 0.4978 0.6053 0.2984

Computed properties:
- Energy: -4.31 eV per atom
- Energy relative to the lowest polymorph listed for this composition: 2.630 eV per formula unit
- Size of the total moment: 0.000 μB per formula unit
- Calculated density: 8.07 Mg/m³
- Calculated formation energy: 0.30 eV/atom
- Space-group type: I4



(19)
Entry from Alexandria: a relaxed structure of Sm3Dy6Tm2 (PBE).

abc: 3.5560 3.5560 31.8987
angles: 86.80 86.80 60.00
Element x y z (fractional)
Sm1 0.0000 0.0000 0.0000
Sm2 0.7279 0.7279 0.8163
Sm3 0.2721 0.2721 0.1837
Dy1 0.9080 0.9080 0.2760
Dy2 0.0920 0.0920 0.7240
Dy3 0.8182 0.8182 0.5453
Dy4 0.1818 0.1818 0.4547
Dy5 0.6361 0.6361 0.0918
Dy6 0.3639 0.3639 0.9082
Tm1 0.5449 0.5449 0.3653
Tm2 0.4551 0.4551 0.6347

Computed properties:
- Energy: -4.59 eV per atom
- Energy relative to the lowest polymorph listed for this composition: 0.000 eV per formula unit
- Size of the total moment: 0.000 μB per formula unit
- Calculated density: 8.40 Mg/m³
- Calculated formation energy: 0.02 eV/atom
- Space-group type: R-3m